No. 1
SCAN LiHgPb2, single point on PBEsol structure; ΔE_f = -148 meV per atom; SG = I4/mmm (139)
1.0
4.665 0.000 0.000
0.000 4.665 0.000
0.000 0.000 9.113
Li Hg Pb
2 2 4
direct
0.000 0.000 0.000
0.500 0.500 0.500
0.000 0.000 0.500
0.500 0.500 0.000
0.000 0.500 0.250
0.000 0.500 0.750
0.500 0.000 0.250
0.500 0.000 0.750



No. 2
SCAN Ta5Mo3, single point on PBEsol structure; ΔE_f = -99 meV per atom; SG = Fmmm (69)
1.0
0.000 4.475 4.620
3.211 0.000 4.620
3.211 4.475 0.000
Ta Mo
5 3
direct
0.000 0.000 0.000
0.000 0.000 0.500
0.000 0.500 0.500
0.500 0.000 0.000
0.500 0.500 0.000
0.000 0.500 0.000
0.500 0.000 0.500
0.500 0.500 0.500



No. 3
SCAN SiBi2Se, single point on PBEsol structure; SG = Fm-3m (225)
1.0
7.244 0.000 0.000
0.000 7.244 0.000
0.000 0.000 7.244
Si Bi Se
4 8 4
direct
0.000 0.000 0.000
0.000 0.500 0.500
0.500 0.000 0.500
0.500 0.500 0.000
0.250 0.250 0.250
0.250 0.250 0.750
0.250 0.750 0.250
0.250 0.750 0.750
0.750 0.250 0.250
0.750 0.250 0.750
0.750 0.750 0.250
0.750 0.750 0.750
0.000 0.000 0.500
0.000 0.500 0.000
0.500 0.000 0.000
0.500 0.500 0.500



No. 4
SCAN Co3HRu, single point on PBEsol structure; SG = Pm-3m (221)
1.0
4.366 0.000 0.000
0.000 4.366 0.000
0.000 0.000 4.366
Co H Ru
3 1 1
direct
0.000 0.000 0.500
0.000 0.500 0.000
0.500 0.000 0.000
0.500 0.500 0.500
0.000 0.000 0.000



no.,density of states at the Fermi level (states/eV/f.u.),total energy (eV/atom)
1,1.5,-55.678
2,7.9,-54.796
3,1.8,-46.351
4,4.5,-15.997